1.
A plane-wave DFT calculation with PBE-GGA was carried out for a relaxed Tb3CeBi3 crystal.

The density of states at the Fermi level is 1.33 states/eV per atom. The calculation puts the magnetization at 1.9 μB per formula unit. As for the total DFT energy (no corrections): -5.089 eV per atom. For the volume, the calculation gives 31.2 Å³/atom. As for the crystal system: hexagonal.

It has space group P6_3/m (No. 176), with a = 9.2732 Å, b = 9.2732 Å, c = 5.8645 Å, α = 90.00°, β = 90.00° and γ = 120.00°. Symmetry generates all atoms from Tb at (0.0172, 0.2472, 0.2500), Ce at (0.3333, 0.6667, 0.2500) and Bi at (0.0642, 0.4306, 0.7500).

---

2.
A plane-wave DFT calculation with PBE-GGA was carried out for a relaxed TbCe5Bi3 crystal.

The density of states at the Fermi level is 3.28 states/eV per atom. The calculation puts the magnetization at 6.1 μB per formula unit. As for the total DFT energy (no corrections): -5.554 eV per atom. For the volume, the calculation gives 29.7 Å³/atom. As for the crystal system: hexagonal.

It has space group P6_3/mcm (No. 193), with a = 9.6665 Å, b = 9.6665 Å, c = 6.6157 Å, α = 90.00°, β = 90.00° and γ = 120.00°. Symmetry generates all atoms from Tb at (0.0000, 0.0000, 0.0000), Ce at (0.0000, 0.3347, 0.2500), Ce at (0.3333, 0.6667, 0.0000) and Bi at (0.0000, 0.3325, 0.7500).

---

3.
A plane-wave DFT calculation with PBE-GGA was carried out for a relaxed TbCe2Bi4 crystal.

The density of states at the Fermi level is 1.10 states/eV per atom. The calculation puts the magnetization at 0.4 μB per formula unit. As for the total DFT energy (no corrections): -5.265 eV per atom. For the volume, the calculation gives 30.9 Å³/atom. As for the crystal system: tetragonal.

It has space group I-42d (No. 122), with a = 9.5312 Å, b = 9.5312 Å, c = 9.5283 Å, α = 90.00°, β = 90.00° and γ = 90.00°. Symmetry generates all atoms from Tb at (0.0000, 0.0000, 0.0000), Ce at (0.1242, 0.2500, 0.6250) and Bi at (0.0789, 0.1730, 0.2950).

---

4.
A plane-wave DFT calculation with PBE-GGA was carried out for a relaxed Tb2Ce2Bi5 crystal.

The density of states at the Fermi level is 1.09 states/eV per atom. The calculation puts the magnetization at 0.6 μB per formula unit. As for the total DFT energy (no corrections): -5.183 eV per atom. For the volume, the calculation gives 31.7 Å³/atom. As for the crystal system: orthorhombic.

It has space group Cmce (No. 64), with a = 15.9718 Å, b = 8.4264 Å, c = 8.4741 Å, α = 90.00°, β = 90.00° and γ = 90.00°. Symmetry generates all atoms from Tb at (0.0000, 0.1516, 0.1545), Ce at (0.1926, 0.0000, 0.5000), Bi at (0.0000, 0.0000, 0.5000) and Bi at (0.1390, 0.1542, 0.8477).

---

5.
A plane-wave DFT calculation with PBE-GGA was carried out for a relaxed TbCeBi2 crystal.

The density of states at the Fermi level is 1.86 states/eV per atom. The calculation puts the magnetization at 1.2 μB per formula unit. As for the total DFT energy (no corrections): -5.225 eV per atom. For the volume, the calculation gives 29.8 Å³/atom. As for the crystal system: tetragonal.

It has space group P4/mmm (No. 123), with a = 4.1454 Å, b = 4.1454 Å, c = 6.9304 Å, α = 90.00°, β = 90.00° and γ = 90.00°. Symmetry generates all atoms from Tb at (0.0000, 0.0000, 0.0000), Ce at (0.0000, 0.0000, 0.5000) and Bi at (0.5000, 0.5000, 0.2467).

---

6.
A plane-wave DFT calculation with PBE-GGA was carried out for a relaxed TbCeBi2 crystal.

The density of states at the Fermi level is 1.59 states/eV per atom. The calculation puts the magnetization at 0.9 μB per formula unit. As for the total DFT energy (no corrections): -5.307 eV per atom. For the volume, the calculation gives 34.0 Å³/atom. As for the crystal system: trigonal.

It has space group R3m (No. 160, hexagonal axes), with a = 4.5130 Å, b = 4.5130 Å, c = 23.1557 Å, α = 90.00°, β = 90.00° and γ = 120.00°. Symmetry generates all atoms from Tb at (0.0000, 0.0000, 0.0000), Ce at (0.0000, 0.0000, 0.1714), Bi at (0.0000, 0.0000, 0.5860) and Bi at (0.0000, 0.0000, 0.7521).

---

7.
A plane-wave DFT calculation with PBE-GGA was carried out for a relaxed Tb3Ce5Bi8 crystal.

The density of states at the Fermi level is 2.16 states/eV per atom. The calculation puts the magnetization at 4.3 μB per formula unit. As for the total DFT energy (no corrections): -5.487 eV per atom. For the volume, the calculation gives 33.6 Å³/atom. As for the crystal system: trigonal.

It has space group R-3m (No. 166, hexagonal axes), with a = 9.1224 Å, b = 9.1224 Å, c = 22.3463 Å, α = 90.00°, β = 90.00° and γ = 120.00°. Symmetry generates all atoms from Tb at (0.0000, 0.5000, 0.0000), Ce at (0.0000, 0.0000, 0.0000), Ce at (0.0000, 0.0000, 0.5000), Ce at (0.0000, 0.5000, 0.5000), Bi at (0.0000, 0.0000, 0.2518) and Bi at (0.0026, 0.5013, 0.2513).

---

8.
A plane-wave DFT calculation with PBE-GGA was carried out for a relaxed TbCeBi2 crystal.

The density of states at the Fermi level is 1.85 states/eV per atom. The calculation puts the magnetization at 0.9 μB per formula unit. As for the total DFT energy (no corrections): -5.337 eV per atom. For the volume, the calculation gives 32.6 Å³/atom. As for the crystal system: orthorhombic.

It has space group Cmcm (No. 63), with a = 4.3803 Å, b = 25.1138 Å, c = 4.7379 Å, α = 90.00°, β = 90.00° and γ = 90.00°. Symmetry generates all atoms from Tb at (0.0000, 0.0593, 0.2500), Ce at (0.0000, 0.3146, 0.2500), Bi at (0.0000, 0.1854, 0.2500) and Bi at (0.0000, 0.4441, 0.2500).

---

9.
A plane-wave DFT calculation with PBE-GGA was carried out for a relaxed TbCe2Bi2 crystal.

The density of states at the Fermi level is 1.65 states/eV per atom. The calculation puts the magnetization at 0.5 μB per formula unit. As for the total DFT energy (no corrections): -5.262 eV per atom. For the volume, the calculation gives 29.8 Å³/atom. As for the crystal system: monoclinic.

It has space group C2/m (No. 12), with a = 6.0466 Å, b = 6.0493 Å, c = 8.6783 Å, α = 90.00°, β = 110.36° and γ = 90.00°. Symmetry generates all atoms from Tb at (0.0000, 0.0000, 0.0000), Ce at (0.0000, 0.2472, 0.5000) and Bi at (0.0968, 0.5000, 0.1966).

---

10.
A plane-wave DFT calculation with PBE-GGA was carried out for a relaxed TbCeBi2 crystal.

The density of states at the Fermi level is 1.77 states/eV per atom. The calculation puts the magnetization at 1.2 μB per formula unit. As for the total DFT energy (no corrections): -5.213 eV per atom. For the volume, the calculation gives 30.0 Å³/atom. As for the crystal system: tetragonal.

It has space group P4/mmm (No. 123), with a = 5.4733 Å, b = 5.4733 Å, c = 4.0122 Å, α = 90.00°, β = 90.00° and γ = 90.00°. Symmetry generates all atoms from Tb at (0.0000, 0.0000, 0.0000), Ce at (0.5000, 0.5000, 0.0000) and Bi at (0.0000, 0.5000, 0.5000).

---

11.
A plane-wave DFT calculation with PBE-GGA was carried out for a relaxed Tb5CeBi4 crystal.

The density of states at the Fermi level is 1.28 states/eV per atom. The calculation puts the magnetization at 0.9 μB per formula unit. As for the total DFT energy (no corrections): -4.926 eV per atom. For the volume, the calculation gives 35.0 Å³/atom. As for the crystal system: monoclinic.

It has space group C2/m (No. 12), with a = 19.1257 Å, b = 4.4556 Å, c = 8.5642 Å, α = 90.00°, β = 106.59° and γ = 90.00°. Symmetry generates all atoms from Tb at (0.0000, 0.0000, 0.0000), Tb at (0.1597, 0.5000, 0.3057), Tb at (0.1857, 0.5000, 0.8476), Ce at (0.0000, 0.0000, 0.5000), Bi at (0.0150, 0.5000, 0.7665) and Bi at (0.1713, 0.0000, 0.5780).

---

12.
A plane-wave DFT calculation with PBE-GGA was carried out for a relaxed Tb5CeBi6 crystal.

The density of states at the Fermi level is 0.57 states/eV per atom. The calculation puts the magnetization at 0.7 μB per formula unit. As for the total DFT energy (no corrections): -5.231 eV per atom. For the volume, the calculation gives 32.5 Å³/atom. As for the crystal system: monoclinic.

It has space group C2/m (No. 12), with a = 7.8110 Å, b = 13.5362 Å, c = 7.8177 Å, α = 90.00°, β = 109.49° and γ = 90.00°. Symmetry generates all atoms from Tb at (0.0000, 0.0000, 0.0000), Tb at (0.0000, 0.1670, 0.5000), Tb at (0.0000, 0.3346, 0.0000), Ce at (0.0000, 0.5000, 0.5000), Bi at (0.2476, 0.0000, 0.7504) and Bi at (0.2480, 0.1678, 0.2478).

---

- Which formula does entry 3 have?
  TbCe2Bi4

---

- Which of these has the lowest total DFT energy (no corrections)?
  TbCe5Bi3

---

- What is the magnetization in the eleventh record?
  0.9 μB per formula unit

---

- magnetization of number 3 (TbCe2Bi4)?
  0.4 μB per formula unit